# K2GePdBr6 PBE-GGA relaxed
data_K2GePdBr6
_symmetry_space_group_name_H-M 'F m -3 m'
_symmetry_Int_Tables_number 225
_symmetry_space_group_name_Hall '-F 4 2 3'
_cell_length_a 10.689
_cell_length_b 10.689
_cell_length_c 10.689
_cell_angle_alpha 90.00
_cell_angle_beta 90.00
_cell_angle_gamma 90.00
loop_
_atom_site_label
_atom_site_type_symbol
_atom_site_fract_x
_atom_site_fract_y
_atom_site_fract_z
K1 K 0.250 0.250 0.250
Ge1 Ge 0.000 0.000 0.000
Pd1 Pd 0.000 0.000 0.500
Br1 Br 0.000 0.000 0.252
# VASP energy = -3.124 eV per atom